Here is crystalline Ta2TlAu at its relaxed geometry from Alexandria via LeMat-Bulk. Energies are from GGA-PBEsol.

Cell: 2.901 2.901 8.922 Å, 90.00 90.00 90.00°
Positions (direct):
Tl  0.000  0.000  0.502
Ta  0.000  0.000  0.992
Au  0.500  0.500  0.769
Ta  0.500  0.500  0.237

## Properties
The density of states at the Fermi level comes out at 2.8 states/eV/f.u. The space-group type is P4mm. The formation energy comes out at 0.1644 eV/atom. The crystal system is tetragonal. For the electronic total energy, the calculation gives -31.0 eV for the cell shown.

---

Here is crystalline TaTl2Au at its relaxed geometry from Alexandria via LeMat-Bulk. Energies are from GGA-PBEsol.

Cell: 4.134 4.134 5.613 Å, 111.61 111.61 90.00°
Positions (direct):
Tl  0.250  0.750  0.500
Au  0.500  0.500  0.000
Ta  0.000  0.000  0.000
Tl  0.750  0.250  0.500

## Properties
The density of states at the Fermi level comes out at 4.1 states/eV/f.u. The space-group type is I4/mmm. The formation energy comes out at 0.5753 eV/atom. As for the energy relative to the lowest polymorph listed for this composition: 113 meV per atom. The crystal system is tetragonal. For the electronic total energy, the calculation gives -19.4 eV for the cell shown.

---

Here is crystalline TaWAu at its relaxed geometry from Alexandria via LeMat-Bulk. Energies are from GGA-PBEsol.

Cell: 2.629 4.696 4.696 Å, 120.00 90.00 90.00°
Positions (direct):
Au  0.835  0.000  0.000
W  0.334  0.667  0.333
Ta  0.831  0.333  0.667

## Properties
The density of states at the Fermi level comes out at 2.2 states/eV/f.u. The space-group type is P3m1. The formation energy comes out at 0.2720 eV/atom. The crystal system is trigonal. For the electronic total energy, the calculation gives -29.5 eV for the cell shown.

---

Here is crystalline TaW3Au at its relaxed geometry from Alexandria via LeMat-Bulk. Energies are from GGA-PBEsol.

Cell: 4.723 4.723 4.723 Å, 90.00 90.00 90.00°
Positions (direct):
Au  0.000  0.000  0.000
W  0.500  0.000  0.000
W  0.000  0.500  0.000
Ta  0.500  0.500  0.500
W  0.000  0.000  0.500

## Properties
The density of states at the Fermi level comes out at 8.4 states/eV/f.u. The space-group type is Pm-3m. The formation energy comes out at 2.7082 eV/atom. The crystal system is cubic. For the electronic total energy, the calculation gives -44.4 eV for the cell shown.

---

Here is crystalline TaZn2Au at its relaxed geometry from Alexandria via LeMat-Bulk. Energies are from GGA-PBEsol.

Cell: 2.889 2.889 7.336 Å, 90.00 90.00 90.00°
Positions (direct):
Zn  0.000  0.000  0.014
Au  0.000  0.000  0.486
Ta  0.500  0.500  0.763
Zn  0.500  0.500  0.237

## Properties
The density of states at the Fermi level comes out at 1.1 states/eV/f.u. The space-group type is P4mm. The formation energy comes out at -0.1082 eV/atom. As for the energy relative to the lowest polymorph listed for this composition: 1 meV per atom. The crystal system is tetragonal. For the electronic total energy, the calculation gives -20.1 eV for the cell shown.

---

Here is crystalline TaZnAu2 at its relaxed geometry from Alexandria via LeMat-Bulk. Energies are from GGA-PBEsol.

Cell: 2.879 2.879 7.798 Å, 90.00 90.00 90.00°
Positions (direct):
Au  0.000  0.000  0.981
Au  0.500  0.500  0.255
Ta  0.000  0.000  0.511
Zn  0.500  0.500  0.753

## Properties
The density of states at the Fermi level comes out at 2.2 states/eV/f.u. The space-group type is P4mm. The formation energy comes out at -0.1069 eV/atom. The crystal system is tetragonal. For the electronic total energy, the calculation gives -22.4 eV for the cell shown.

---

Here is crystalline TaZnAu2 at its relaxed geometry from Alexandria via LeMat-Bulk. Energies are from GGA-PBEsol.

Cell: 2.888 2.888 9.278 Å, 81.05 81.05 60.00°
Positions (direct):
Zn  0.252  0.252  0.245
Au  0.996  0.996  0.012
Ta  0.502  0.502  0.495
Au  0.751  0.751  0.747

## Properties
The density of states at the Fermi level comes out at 2.4 states/eV/f.u. The space-group type is R3m. The formation energy comes out at 0.0050 eV/atom. The crystal system is trigonal. For the electronic total energy, the calculation gives -22.0 eV for the cell shown.

---

Here is crystalline TaZn2Au at its relaxed geometry from Alexandria via LeMat-Bulk. Energies are from GGA-PBEsol.

Cell: 2.856 2.856 7.546 Å, 90.00 90.00 90.00°
Positions (direct):
Au  0.500  0.500  0.000
Ta  0.500  0.500  0.500
Zn  0.000  0.000  0.244
Zn  0.000  0.000  0.756

## Properties
The density of states at the Fermi level comes out at 1.6 states/eV/f.u. The space-group type is P4/mmm. The formation energy comes out at -0.1094 eV/atom. As for the energy relative to the lowest polymorph listed for this composition: 0 meV per atom. The crystal system is tetragonal. For the electronic total energy, the calculation gives -20.1 eV for the cell shown.

---

Here is crystalline TaZnAu2 at its relaxed geometry from Alexandria via LeMat-Bulk. Energies are from GGA-PBEsol.

Cell: 2.897 2.897 7.694 Å, 90.00 90.00 90.00°
Positions (direct):
Au  0.000  0.000  0.260
Zn  0.500  0.500  0.500
Au  0.000  0.000  0.740
Ta  0.500  0.500  0.000

## Properties
The density of states at the Fermi level comes out at 2.2 states/eV/f.u. The space-group type is P4/mmm. The formation energy comes out at -0.1611 eV/atom. The crystal system is tetragonal. For the electronic total energy, the calculation gives -22.6 eV for the cell shown.

---

Here is crystalline TaZnAu2 at its relaxed geometry from Alexandria via LeMat-Bulk. Energies are from GGA-PBEsol.

Cell: 3.981 4.066 4.066 Å, 90.00 90.00 90.00°
Positions (direct):
Zn  0.500  0.000  0.000
Ta  0.500  0.500  0.500
Au  0.000  0.500  0.000
Au  0.000  0.000  0.500

## Properties
The density of states at the Fermi level comes out at 3.8 states/eV/f.u. The space-group type is P4/mmm. The formation energy comes out at 0.1012 eV/atom. The crystal system is tetragonal. For the electronic total energy, the calculation gives -21.6 eV for the cell shown.

---

Here is crystalline TaZn2Au at its relaxed geometry from Alexandria via LeMat-Bulk. Energies are from GGA-PBEsol.

Cell: 2.757 4.748 5.491 Å, 115.62 104.54 90.00°
Positions (direct):
Ta  0.747  0.247  0.494
Zn  0.988  0.988  0.977
Zn  0.254  0.754  0.508
Au  0.510  0.510  0.021

## Properties
The density of states at the Fermi level comes out at 2.3 states/eV/f.u. The space-group type is Imm2. The formation energy comes out at 0.0709 eV/atom. As for the energy relative to the lowest polymorph listed for this composition: 180 meV per atom. The crystal system is orthorhombic. For the electronic total energy, the calculation gives -19.4 eV for the cell shown.

---

Here is crystalline ZrTa4Au at its relaxed geometry from Alexandria via LeMat-Bulk. Energies are from GGA-PBEsol.

Cell: 5.425 5.425 5.425 Å, 60.00 60.00 60.00°
Positions (direct):
Ta  0.377  0.869  0.377
Ta  0.377  0.377  0.869
Au  0.000  0.000  0.000
Ta  0.377  0.377  0.377
Ta  0.869  0.377  0.377
Zr  0.750  0.750  0.750

## Properties
The density of states at the Fermi level comes out at 5.9 states/eV/f.u. The space-group type is F-43m. The formation energy comes out at 0.1915 eV/atom. The crystal system is cubic. For the electronic total energy, the calculation gives -62.1 eV for the cell shown.

---

Q: Number 4 is which compound?
A: TaW3Au